# Bi3Pd2Au (PBE, relaxed)
data_Bi3Pd2Au
_chemical_formula_sum 'Bi12 Pd8 Au4'
_symmetry_space_group_name_H-M 'I b a m'
_symmetry_Int_Tables_number 72
_symmetry_space_group_name_Hall '-I 2 2c'
_cell_length_a 6.925
_cell_length_b 12.216
_cell_length_c 7.125
_cell_angle_alpha 90.00
_cell_angle_beta 90.00
_cell_angle_gamma 90.00
loop_
_atom_site_label
_atom_site_fract_x
_atom_site_fract_y
_atom_site_fract_z
_atom_site_occupancy
Bi1 0.000 0.000 0.250 1
Bi2 0.000 0.292 0.250 1
Pd1 0.193 0.142 0.000 1
Au1 0.000 0.500 0.000 1
# Magnetization = 0.00 μB per formula unit
# Formation enthalpy at 0 K = -0.154 eV per atom